This record from Alexandria via LeMat-Bulk describes an optimized crystal structure of BaAcNi10. The functional is PBE.

a = 3.958 Å, b = 5.152 Å, c = 8.921 Å
α = 90.00°, β = 90.00°, γ = 90.00°
Space group Pmmm (No. 47)
Asymmetric unit:
Ba 0.000 0.000 0.000 (multiplicity 1)
Ac 0.000 0.500 0.500 (multiplicity 1)
Ni 0.000 0.000 0.337 (multiplicity 2)
Ni 0.000 0.500 0.171 (multiplicity 2)
Ni 0.500 0.000 0.500 (multiplicity 1)
Ni 0.500 0.254 0.256 (multiplicity 4)
Ni 0.500 0.500 0.000 (multiplicity 1)

The volume is 182 Å³/cell. The calculation puts the total energy at -5.375 eV per atom.